No. 1
Below is AgBiSbTe after structural relaxation, with properties calculated at the PBE level.

CIF file:
```
data_AgBiSbTe
_chemical_formula_sum 'Ag6 Bi6 Sb6 Te6'
_symmetry_space_group_name_H-M 'R -3 m'
_symmetry_Int_Tables_number 166
_symmetry_space_group_name_Hall '-R 3 2"'
_cell_length_a 4.4023
_cell_length_b 4.4023
_cell_length_c 44.0633
_cell_angle_alpha 90.00
_cell_angle_beta 90.00
_cell_angle_gamma 120.00
loop_
_atom_site_label
_atom_site_type_symbol
_atom_site_fract_x
_atom_site_fract_y
_atom_site_fract_z
_atom_site_occupancy
Ag1 Ag 0.0000 0.0000 0.1847 1
Bi1 Bi 0.0000 0.0000 0.4002 1
Sb1 Sb 0.0000 0.0000 0.3048 1
Te1 Te 0.0000 0.0000 0.1192 1
```

The uncorrected formation energy comes out at 0.007 eV per atom. The spin magnetization comes out at 0.0 μB/cell. For the volume, the calculation gives 123.3 Å³/f.u. As for the density of states at the Fermi level: 11.702 states/eV/cell.



No. 2
Below is AgBiSb2Te after structural relaxation, with properties calculated at the PBE level.

CIF file:
```
data_AgBiSb2Te
_chemical_formula_sum 'Ag1 Bi1 Sb2 Te1'
_symmetry_space_group_name_H-M 'P 4/m m m'
_symmetry_Int_Tables_number 123
_symmetry_space_group_name_Hall '-P 4 2'
_cell_length_a 5.3332
_cell_length_b 5.3332
_cell_length_c 5.5165
_cell_angle_alpha 90.00
_cell_angle_beta 90.00
_cell_angle_gamma 90.00
loop_
_atom_site_label
_atom_site_type_symbol
_atom_site_fract_x
_atom_site_fract_y
_atom_site_fract_z
_atom_site_occupancy
Ag1 Ag 0.0000 0.0000 0.0000 1
Bi1 Bi 0.5000 0.5000 0.5000 1
Sb1 Sb 0.0000 0.5000 0.0000 1
Te1 Te 0.0000 0.0000 0.5000 1
```

Its offset from the most stable computed form is 0.00 eV/f.u. The uncorrected formation energy comes out at 0.546 eV per atom. The spin magnetization comes out at 0.0 μB/cell. For the volume, the calculation gives 156.9 Å³/f.u. As for the density of states at the Fermi level: 5.330 states/eV/cell.



No. 3
Below is Sc3Ag12Bi5 after structural relaxation, with properties calculated at the PBE level.

CIF file:
```
data_Sc3Ag12Bi5
_chemical_formula_sum 'Sc24 Ag96 Bi40'
_symmetry_space_group_name_H-M 'I a -3 d'
_symmetry_Int_Tables_number 230
_symmetry_space_group_name_Hall '-I 4bd 2c 3'
_cell_length_a 16.4396
_cell_length_b 16.4396
_cell_length_c 16.4396
_cell_angle_alpha 90.00
_cell_angle_beta 90.00
_cell_angle_gamma 90.00
loop_
_atom_site_label
_atom_site_type_symbol
_atom_site_fract_x
_atom_site_fract_y
_atom_site_fract_z
_atom_site_occupancy
Sc1 Sc 0.0000 0.2500 0.1250 1
Ag1 Ag 0.0043 0.0787 0.6538 1
Bi1 Bi 0.0000 0.0000 0.0000 1
Bi2 Bi 0.0000 0.2500 0.3750 1
```

The energy relative to the elements comes out at 328 meV per atom. The spin magnetization comes out at 0.0 μB/cell. For the volume, the calculation gives 555.4 Å³/f.u. As for the density of states at the Fermi level: 102.342 states/eV/cell.